The following is a DFT calculation (PBE) of a relaxed structure of SrAg.

abc: 5.7583 5.7583 8.7866
angles: 90.00 90.00 120.00
Fractional positions:
Sr 0.0000 0.0000 0.2500
Sr 0.0000 0.0000 0.7500
Sr 0.3333 0.6667 0.2500
Sr 0.6667 0.3333 0.7500
Ag 0.3333 0.6667 0.5950
Ag 0.3333 0.6667 0.9050
Ag 0.6667 0.3333 0.0950
Ag 0.6667 0.3333 0.4050

=====

The following is a DFT calculation (PBE) of a relaxed structure of Sr2Ag.

The calculation puts the energy relative to the lowest polymorph listed for this composition at 20 meV per atom.

abc: 7.6095 7.6095 7.7738
angles: 90.00 90.00 148.01
Fractional positions:
Sr 0.0159 0.9841 0.5000
Sr 0.2817 0.7183 0.6831
Sr 0.7183 0.2817 0.1831
Sr 0.9841 0.0159 0.0000
Ag 0.3844 0.6156 0.2815
Ag 0.6156 0.3844 0.7815

=====

The following is a DFT calculation (PBE) of a relaxed structure of SrAg2.

abc: 5.9719 5.9719 5.9719
angles: 60.00 60.00 60.00
Fractional positions:
Sr 0.1250 0.1250 0.1250
Sr 0.8750 0.8750 0.8750
Ag 0.0000 0.5000 0.5000
Ag 0.5000 0.0000 0.5000
Ag 0.5000 0.5000 0.0000
Ag 0.5000 0.5000 0.5000

=====

The following is a DFT calculation (PBE) of a relaxed structure of Sr3Ag11.

abc: 8.9128 8.9128 8.9128
angles: 149.28 112.25 76.21
Fractional positions:
Sr 0.0000 0.0000 0.0000
Sr 0.3063 0.3063 0.0000
Sr 0.6937 0.6937 0.0000
Ag 0.0314 0.6748 0.3566
Ag 0.1545 0.8765 0.2780
Ag 0.2989 0.5000 0.7989
Ag 0.3181 0.6748 0.6434
Ag 0.4014 0.1235 0.2780
Ag 0.5000 0.0000 0.5000
Ag 0.5986 0.8765 0.7220
Ag 0.6819 0.3252 0.3566
Ag 0.7011 0.5000 0.2011
Ag 0.8455 0.1235 0.7220
Ag 0.9686 0.3252 0.6434

=====

Number 1: formation enthalpy at 0 K 0.11 eV per atom. Number 2: formation enthalpy at 0 K -0.19 eV per atom. Number 3: formation enthalpy at 0 K -0.20 eV per atom. Number 4: formation enthalpy at 0 K -0.19 eV per atom.